NaFeAs2O8: relaxed, PBE with a Hubbard U.

It has space group P-3 (No. 147), with a = 5.2462 Å, b = 5.2462 Å, c = 7.0327 Å, α = 90.00°, β = 90.00° and γ = 120.00°. Symmetry generates all atoms from Na at (0.0000, 0.0000, 0.0000), Fe at (0.0000, 0.0000, 0.5000), As at (0.3333, 0.6667, 0.2690), O at (0.0528, 0.7313, 0.3278) and O at (0.3333, 0.6667, 0.0224).

The total magnetization comes out at 0.2496 μB per atom. The raw total energy is -5.723 eV/atom.